[1]
Below is crystalline Zr5Ti2Bi5 at its relaxed geometry, with properties calculated at the PBE level.

space-group type = C2/m
energy relative to the elements = -0.23 eV/atom
total energy = -6.73 eV/atom

Structure (POSCAR):
```
Zr5Ti2Bi5
1.0
7.319 -1.932 0.000
7.319 1.932 0.000
-5.793 0.000 10.102
Zr Ti Bi
5 2 5
direct
0.000 0.000 0.000 Zr
0.121 0.121 0.755 Zr
0.165 0.165 0.502 Zr
0.835 0.835 0.498 Zr
0.879 0.879 0.245 Zr
0.442 0.442 0.728 Ti
0.558 0.558 0.272 Ti
0.210 0.210 0.265 Bi
0.355 0.355 0.026 Bi
0.500 0.500 0.500 Bi
0.645 0.645 0.974 Bi
0.790 0.790 0.735 Bi
```


[2]
Below is crystalline Ta5Ga3 at its relaxed geometry, with properties calculated at the PBE level.

energy above the lowest structure with this stoichiometry = 89 meV/atom
space-group type = P6_3/mcm
energy relative to the elements = -0.17 eV/atom
total energy = -8.71 eV/atom

Structure (POSCAR):
```
Ta5Ga3
1.0
7.734 0.000 0.000
-3.867 6.698 0.000
0.000 0.000 5.289
Ta Ga
10 6
direct
0.000 0.247 0.250 Ta
0.000 0.753 0.750 Ta
0.247 0.000 0.250 Ta
0.247 0.247 0.750 Ta
0.333 0.667 0.000 Ta
0.333 0.667 0.500 Ta
0.667 0.333 0.000 Ta
0.667 0.333 0.500 Ta
0.753 0.000 0.750 Ta
0.753 0.753 0.250 Ta
0.000 0.394 0.750 Ga
0.000 0.606 0.250 Ga
0.394 0.000 0.750 Ga
0.394 0.394 0.250 Ga
0.606 0.000 0.250 Ga
0.606 0.606 0.750 Ga
```


[3]
Below is crystalline CsNF at its relaxed geometry, with properties calculated at the PBE level.

energy above the lowest structure with this stoichiometry = 1720 meV/atom
space-group type = Cm
total energy = -3.70 eV/atom
formation energy (no corrections) = -0.02 eV per atom

Structure (POSCAR):
```
CsNF
1.0
7.547 0.000 0.000
0.000 4.969 0.000
-0.876 0.000 3.843
Cs N F
2 2 2
direct
0.000 0.000 0.000 Cs
0.500 0.500 0.000 Cs
0.384 0.000 0.434 N
0.884 0.500 0.434 N
0.084 0.500 0.569 F
0.584 0.000 0.569 F
```


Question: total energy of number 2 (Ta5Ga3)?
Answer: -8.71 eV/atom


Question: total energy of number 2 (Ta5Ga3)?
Answer: -8.71 eV/atom


Question: Which of these has the lowest total energy?
Answer: Ta5Ga3


Question: Which formula does entry 3 have?
Answer: CsNF